A relaxed structure of Ac2VMoO8, computed with GGA+U.

Cell and atoms, written as POSCAR:
```
Ac2VMoO8
1.0
5.5093 0.0000 0.0000
1.4041 5.8836 0.0000
2.2843 0.8137 5.7182
Ac V Mo O
2 1 1 8
Cartesian
1.2563 1.2391 0.9090 Ac
7.9414 5.4582 4.8092 Ac
3.8968 0.4068 2.8591 V
4.5989 3.3486 2.8591 Mo
3.9500 3.4932 4.6573 O
3.6723 5.1021 2.4794 O
4.7801 6.4217 4.6442 O
3.0811 2.2158 2.4159 O
6.1167 4.4814 3.3023 O
4.4177 0.2756 1.0740 O
5.5255 1.5952 3.2389 O
5.2478 3.2040 1.0609 O
```

Results
Crystal system ... triclinic
Total DFT energy (no corrections) ... -7.70 eV per atom
Volume ... 15.45 Å³/atom
SG ... P-1